1.
Computed, not measured: crystalline SmGdDyMg at its relaxed geometry at the GGA-PBE level of DFT.

energy = -24.9 eV/f.u.
size of the total moment = 7.57 μB per formula unit
V = 120.7 Å³/cell
calculated formation energy = 0.033 eV per atom

```
4
Lattice="0.0000 3.9229 3.9229 3.9229 0.0000 3.9229 3.9229 3.9229 0.0000" Properties=species:S:1:pos:R:3 pbc="T T T"
Sm 0.0000 0.0000 0.0000
Gd 3.9229 3.9229 3.9229
Dy 1.9615 1.9615 1.9615
Mg 5.8844 5.8844 5.8844
```


2.
Computed, not measured: crystalline Hf2HgBi at its relaxed geometry at the GGA-PBE level of DFT.

energy = -23.7 eV/f.u.
size of the total moment = 0.00 μB per formula unit
V = 91.3 Å³/cell
calculated formation energy = 0.105 eV per atom

```
4
Lattice="0.0000 3.5740 3.5740 3.5740 0.0000 3.5740 3.5740 3.5740 0.0000" Properties=species:S:1:pos:R:3 pbc="T T T"
Hf 1.7870 1.7870 1.7870
Hf 5.3610 5.3610 5.3610
Hg 0.0000 0.0000 0.0000
Bi 3.5740 3.5740 3.5740
```


3.
Computed, not measured: crystalline Er2Ga4Rh3 at its relaxed geometry at the GGA-PBE level of DFT.

energy = -49.6 eV/f.u.
size of the total moment = 0.00 μB per formula unit
V = 162.6 Å³/cell
calculated formation energy = -0.699 eV per atom

```
9
Lattice="0.0000 4.7357 6.2928 2.7279 0.0000 6.2928 2.7279 4.7357 0.0000" Properties=species:S:1:pos:R:3 pbc="T T T"
Er 2.7279 4.7357 1.5822
Er 2.7279 4.7357 11.0034
Ga 2.7279 3.1333 4.2535
Ga 2.7279 3.1333 8.3321
Ga 2.7279 6.3381 4.2535
Ga 2.7279 6.3381 8.3321
Rh 1.3640 2.3678 0.0000
Rh 1.3640 2.3678 6.2928
Rh 2.7279 4.7357 6.2928
```


4.
Computed, not measured: crystalline La2PuZn3Pt4 at its relaxed geometry at the GGA-PBE level of DFT.

energy = -59.8 eV/f.u.
size of the total moment = 5.93 μB per formula unit
V = 210.8 Å³/cell
calculated formation energy = -0.763 eV per atom

```
10
Lattice="4.2773 0.0000 0.0000 0.0000 4.2773 0.0000 0.0000 0.0000 11.5220" Properties=species:S:1:pos:R:3 pbc="T T T"
La 0.0000 2.1386 2.6344
La 2.1386 0.0000 8.8876
Pu 0.0000 0.0000 5.7610
Zn 0.0000 2.1386 10.1120
Zn 2.1386 0.0000 1.4100
Zn 2.1386 2.1386 5.7610
Pt 0.0000 0.0000 0.0000
Pt 0.0000 2.1386 7.5837
Pt 2.1386 0.0000 3.9383
Pt 2.1386 2.1386 0.0000
```


5.
Computed, not measured: crystalline AcYTiN3 at its relaxed geometry at the GGA-PBE level of DFT.

energy = -51.1 eV/f.u.
size of the total moment = 0.00 μB per formula unit
V = 211.6 Å³/cell
raw formation energy = -1.272 eV/atom

```
12
Lattice="7.5565 0.0000 0.0000 0.0000 3.6391 0.0000 -1.6061 0.0000 7.6938" Properties=species:S:1:pos:R:3 pbc="T T T"
Ac 1.1039 0.9098 1.4594
Ac 4.8466 2.7293 6.2344
Y 1.3637 2.7293 6.5093
Y 4.5867 0.9098 1.1845
Ti -0.2038 0.9098 4.6262
Ti 6.1543 2.7293 3.0675
N -0.4906 0.9098 6.5261
N 0.4052 2.7293 4.0540
N 2.9372 2.7293 1.1021
N 3.0133 0.9098 6.5917
N 5.5452 0.9098 3.6397
N 6.4411 2.7293 1.1676
```


6.
Computed, not measured: crystalline BaBe2Cr at its relaxed geometry at the GGA-PBE level of DFT.

energy = -17.3 eV/f.u.
size of the total moment = 3.17 μB per formula unit
V = 85.0 Å³/cell
calculated formation energy = 0.416 eV per atom

```
4
Lattice="3.5511 -2.0479 0.0000 3.5511 2.0479 0.0000 -2.2685 0.0000 5.8430" Properties=species:S:1:pos:R:3 pbc="T T T"
Ba 0.0000 0.0000 0.0000
Be 0.0532 0.0000 3.1289
Be 4.7805 0.0000 2.7142
Cr 2.4168 0.0000 2.9215
```